The following is a DFT calculation (GGA-PBE) of SrAgGeIr after structural relaxation.

CIF file:
```
data_SrAgGeIr
_chemical_formula_sum 'Sr2 Ag2 Ge2 Ir2'
_symmetry_space_group_name_H-M 'P 4/n m m'
_symmetry_Int_Tables_number 129
_cell_length_a 4.1514
_cell_length_b 4.1514
_cell_length_c 10.8653
_cell_angle_alpha 90.00
_cell_angle_beta 90.00
_cell_angle_gamma 90.00
loop_
_symmetry_equiv_pos_as_xyz
'x,y,z'
'-x,-y,-z'
'-y+1/2,x,z'
'y+1/2,-x,-z'
'-x+1/2,-y+1/2,z'
'x+1/2,y+1/2,-z'
'y,-x+1/2,z'
'-y,x+1/2,-z'
'x+1/2,-y,-z'
'-x+1/2,y,z'
'-y,-x,-z'
'y,x,z'
'-x,y+1/2,-z'
'x,-y+1/2,z'
'y+1/2,x+1/2,-z'
'-y+1/2,-x+1/2,z'
loop_
_atom_site_label
_atom_site_fract_x
_atom_site_fract_y
_atom_site_fract_z
Sr1 0.2500 0.2500 0.2479
Ag1 0.2500 0.7500 0.0000
Ge1 0.2500 0.2500 0.6257
Ir1 0.2500 0.7500 0.5000
```

Computed properties:
Energy of formation   -1.71 eV/f.u.
Uncorrected energy   -39.4 eV/cell